# MnPtSe3 PBE relaxed
data_MnPtSe3
_space_group_name_H-M_alt 'P 1'
_space_group_IT_number 1
_space_group_name_Hall 'P 1'
_cell_length_a 4.6097
_cell_length_b 4.6097
_cell_length_c 4.6097
_cell_angle_alpha 90.00
_cell_angle_beta 90.00
_cell_angle_gamma 90.00
loop_
_atom_site_label
_atom_site_type_symbol
_atom_site_fract_x
_atom_site_fract_y
_atom_site_fract_z
Mn1 Mn 0.0000 0.0000 0.0000
Se1 Se 0.0000 0.5000 0.0000
Se2 Se 0.0000 0.0000 0.5000
Se3 Se 0.5000 0.0000 0.0000
Pt1 Pt 0.5000 0.5000 0.5000
# ΔE to the lowest computed polymorph in meV/atom: 997.7
# Formation energy without anion corrections in meV per atom: 676.2
# ρ in kg/m³: 8254
# SG: Pm-3m, No. 221

# PBrO PBE relaxed
data_PBrO
_space_group_name_H-M_alt 'P 1'
_space_group_IT_number 1
_space_group_name_Hall 'P 1'
_cell_length_a 6.1856
_cell_length_b 3.6912
_cell_length_c 7.5564
_cell_angle_alpha 90.00
_cell_angle_beta 105.05
_cell_angle_gamma 90.00
loop_
_atom_site_label
_atom_site_type_symbol
_atom_site_fract_x
_atom_site_fract_y
_atom_site_fract_z
P1 P 0.6556 0.0000 0.5203
P2 P 0.6556 0.5000 0.0203
Br1 Br 0.3539 0.0000 0.9172
Br2 Br 0.3539 0.5000 0.4172
O1 O 0.7848 0.0000 0.3805
O2 O 0.7848 0.5000 0.8805
# Formation energy without anion corrections in meV per atom: -799.9
# ρ in kg/m³: 2529
# SG: Cm, No. 8

# RbCu2Re PBE relaxed
data_RbCu2Re
_space_group_name_H-M_alt 'P 1'
_space_group_IT_number 1
_space_group_name_Hall 'P 1'
_cell_length_a 5.1095
_cell_length_b 5.1095
_cell_length_c 9.2380
_cell_angle_alpha 73.95
_cell_angle_beta 73.95
_cell_angle_gamma 90.00
loop_
_atom_site_label
_atom_site_type_symbol
_atom_site_fract_x
_atom_site_fract_y
_atom_site_fract_z
Re1 Re 0.0000 0.0000 0.0000
Re2 Re 0.7500 0.2500 0.5000
Cu1 Cu 0.8753 0.1250 0.2500
Cu2 Cu 0.8747 0.6250 0.2500
Cu3 Cu 0.3750 0.1247 0.7500
Cu4 Cu 0.8750 0.1253 0.7500
Rb1 Rb 0.5000 0.5000 0.0000
Rb2 Rb 0.2500 0.7500 0.5000
# ΔE to the lowest computed polymorph in meV/atom: 0.0
# ρ in kg/m³: 5966
# SG: I4_1/amd, No. 141

# HfGaAs2Br PBE relaxed
data_HfGaAs2Br
_space_group_name_H-M_alt 'P 1'
_space_group_IT_number 1
_space_group_name_Hall 'P 1'
_cell_length_a 5.1443
_cell_length_b 5.1443
_cell_length_c 5.4993
_cell_angle_alpha 90.00
_cell_angle_beta 90.00
_cell_angle_gamma 90.00
loop_
_atom_site_label
_atom_site_type_symbol
_atom_site_fract_x
_atom_site_fract_y
_atom_site_fract_z
As1 As 0.0000 0.5000 0.0000
As2 As 0.5000 0.0000 0.0000
Hf1 Hf 0.0000 0.0000 0.0000
Ga1 Ga 0.5000 0.5000 0.5000
Br1 Br 0.0000 0.0000 0.5000
# ΔE to the lowest computed polymorph in meV/atom: 0.0
# Formation energy without anion corrections in meV per atom: -123.4
# ρ in kg/m³: 5454
# SG: P4/mmm, No. 123

# CsVS2 PBE relaxed
data_CsVS2
_space_group_name_H-M_alt 'P 1'
_space_group_IT_number 1
_space_group_name_Hall 'P 1'
_cell_length_a 3.3707
_cell_length_b 9.4101
_cell_length_c 8.9394
_cell_angle_alpha 47.87
_cell_angle_beta 89.99
_cell_angle_gamma 100.42
loop_
_atom_site_label
_atom_site_type_symbol
_atom_site_fract_x
_atom_site_fract_y
_atom_site_fract_z
Cs1 Cs 0.9325 0.3046 0.1310
Cs2 Cs 0.0941 0.6387 0.4109
S1 S 0.3472 0.1377 0.9338
S2 S 0.6449 0.7373 0.0011
S3 S 0.6797 0.8056 0.6081
S4 S 0.3819 0.2061 0.5408
V1 V 0.2123 0.8707 0.7444
V2 V 0.8145 0.0727 0.7974
# Formation energy without anion corrections in meV per atom: -1010.7
# ρ in kg/m³: 4038
# SG: P-1, No. 2

# YSbI2O PBE relaxed
data_YSbI2O
_space_group_name_H-M_alt 'P 1'
_space_group_IT_number 1
_space_group_name_Hall 'P 1'
_cell_length_a 6.2528
_cell_length_b 6.2528
_cell_length_c 4.0524
_cell_angle_alpha 90.00
_cell_angle_beta 90.00
_cell_angle_gamma 90.00
loop_
_atom_site_label
_atom_site_type_symbol
_atom_site_fract_x
_atom_site_fract_y
_atom_site_fract_z
I1 I 0.0000 0.5000 0.0000
I2 I 0.5000 0.0000 0.0000
Sb1 Sb 0.0000 0.0000 0.0000
Y1 Y 0.5000 0.5000 0.5000
O1 O 0.0000 0.0000 0.5000
# ΔE to the lowest computed polymorph in meV/atom: 625.8
# Formation energy without anion corrections in meV per atom: -325.5
# ρ in kg/m³: 5036
# SG: P4/mmm, No. 123

# AlFe3H PBE relaxed
data_AlFe3H
_space_group_name_H-M_alt 'P 1'
_space_group_IT_number 1
_space_group_name_Hall 'P 1'
_cell_length_a 6.8637
_cell_length_b 6.8637
_cell_length_c 6.8637
_cell_angle_alpha 60.00
_cell_angle_beta 60.00
_cell_angle_gamma 60.00
loop_
_atom_site_label
_atom_site_type_symbol
_atom_site_fract_x
_atom_site_fract_y
_atom_site_fract_z
H1 H 0.1250 0.1250 0.1250
H2 H 0.1250 0.6250 0.1250
H3 H 0.6250 0.1250 0.1250
H4 H 0.1250 0.1250 0.6250
Fe1 Fe 0.8157 0.1843 0.1843
Fe2 Fe 0.0657 0.4343 0.4343
Fe3 Fe 0.4343 0.4343 0.0657
Fe4 Fe 0.4343 0.0657 0.0657
Fe5 Fe 0.0657 0.4343 0.0657
Fe6 Fe 0.8157 0.1843 0.8157
Fe7 Fe 0.4343 0.0657 0.4343
Fe8 Fe 0.0657 0.0657 0.4343
Fe9 Fe 0.1843 0.8157 0.1843
Fe10 Fe 0.1843 0.8157 0.8157
Fe11 Fe 0.1843 0.1843 0.8157
Fe12 Fe 0.8157 0.8157 0.1843
Al1 Al 0.6250 0.6250 0.6250
Al2 Al 0.6250 0.1250 0.6250
Al3 Al 0.1250 0.6250 0.6250
Al4 Al 0.6250 0.6250 0.1250
# ΔE to the lowest computed polymorph in meV/atom: 297.8
# ρ in kg/m³: 5680
# SG: Fd-3m, No. 227

# InSi2Te PBE relaxed
data_InSi2Te
_space_group_name_H-M_alt 'P 1'
_space_group_IT_number 1
_space_group_name_Hall 'P 1'
_cell_length_a 7.2889
_cell_length_b 7.2889
_cell_length_c 7.2889
_cell_angle_alpha 31.21
_cell_angle_beta 31.21
_cell_angle_gamma 31.21
loop_
_atom_site_label
_atom_site_type_symbol
_atom_site_fract_x
_atom_site_fract_y
_atom_site_fract_z
In1 In 0.7500 0.7500 0.7500
Si1 Si 0.0011 0.0011 0.0011
Si2 Si 0.4989 0.4989 0.4989
Te1 Te 0.2500 0.2500 0.2500
# ΔE to the lowest computed polymorph in meV/atom: 194.1
# Formation energy without anion corrections in meV per atom: 373.5
# ρ in kg/m³: 5373
# SG: R-3m, No. 166

# Pr4HgBiSe2 PBE relaxed
data_Pr4HgBiSe2
_space_group_name_H-M_alt 'P 1'
_space_group_IT_number 1
_space_group_name_Hall 'P 1'
_cell_length_a 4.3712
_cell_length_b 7.8862
_cell_length_c 7.4711
_cell_angle_alpha 71.29
_cell_angle_beta 90.00
_cell_angle_gamma 90.00
loop_
_atom_site_label
_atom_site_type_symbol
_atom_site_fract_x
_atom_site_fract_y
_atom_site_fract_z
Pr1 Pr 0.0000 0.7697 0.7429
Pr2 Pr 0.0000 0.2303 0.2571
Pr3 Pr 0.5000 0.7712 0.2444
Pr4 Pr 0.5000 0.2288 0.7556
Hg1 Hg 0.0000 0.5000 0.5000
Bi1 Bi 0.5000 0.5000 0.0000
Se1 Se 0.0000 0.0000 0.0000
Se2 Se 0.5000 0.0000 0.5000
# Formation energy without anion corrections in meV per atom: -1242.9
# ρ in kg/m³: 7700
# SG: P2/m, No. 10

# Y6Sb2Te3P PBE relaxed
data_Y6Sb2Te3P
_space_group_name_H-M_alt 'P 1'
_space_group_IT_number 1
_space_group_name_Hall 'P 1'
_cell_length_a 4.2842
_cell_length_b 8.7130
_cell_length_c 9.7287
_cell_angle_alpha 103.48
_cell_angle_beta 102.72
_cell_angle_gamma 90.00
loop_
_atom_site_label
_atom_site_type_symbol
_atom_site_fract_x
_atom_site_fract_y
_atom_site_fract_z
Y1 Y 0.3505 0.9209 0.7009
Y2 Y 0.6663 0.5765 0.3327
Y3 Y 0.6495 0.0791 0.2991
Y4 Y 0.0006 0.2157 0.0012
Y5 Y 0.9994 0.7843 0.9988
Y6 Y 0.3337 0.4235 0.6673
Sb1 Sb 0.8332 0.6681 0.6663
Sb2 Sb 0.1668 0.3319 0.3337
Te1 Te 0.5000 0.5000 0.0000
Te2 Te 0.8293 0.1635 0.6587
Te3 Te 0.1707 0.8365 0.3413
P1 P 0.5000 0.0000 0.0000
# Formation energy without anion corrections in meV per atom: -1373.8
# ρ in kg/m³: 5748
# SG: C2/m, No. 12

# ZrUTe3 PBE relaxed
data_ZrUTe3
_space_group_name_H-M_alt 'P 1'
_space_group_IT_number 1
_space_group_name_Hall 'P 1'
_cell_length_a 4.2088
_cell_length_b 5.9970
_cell_length_c 11.8663
_cell_angle_alpha 90.00
_cell_angle_beta 90.00
_cell_angle_gamma 90.00
loop_
_atom_site_label
_atom_site_type_symbol
_atom_site_fract_x
_atom_site_fract_y
_atom_site_fract_z
Zr1 Zr 0.5000 0.6890 0.9044
Zr2 Zr 0.5000 0.1890 0.0956
U1 U 0.0000 0.6891 0.3455
U2 U 0.0000 0.1891 0.6545
Te1 Te 0.5000 0.4391 0.5000
Te2 Te 0.5000 0.1891 0.8551
Te3 Te 0.0000 0.6891 0.7413
Te4 Te 0.5000 0.9391 0.5000
Te5 Te 0.0000 0.1891 0.2587
Te6 Te 0.5000 0.6891 0.1449
# Formation energy without anion corrections in meV per atom: -516.1
# ρ in kg/m³: 7896
# SG: Pmma, No. 51

# Tb5NdSe6 PBE relaxed
data_Tb5NdSe6
_space_group_name_H-M_alt 'P 1'
_space_group_IT_number 1
_space_group_name_Hall 'P 1'
_cell_length_a 7.1181
_cell_length_b 7.1355
_cell_length_c 7.1436
_cell_angle_alpha 60.04
_cell_angle_beta 80.37
_cell_angle_gamma 70.43
loop_
_atom_site_label
_atom_site_type_symbol
_atom_site_fract_x
_atom_site_fract_y
_atom_site_fract_z
Tb1 Tb 0.5000 0.1611 0.6779
Tb2 Tb 0.0000 0.3345 0.3311
Tb3 Tb 0.5000 0.5000 0.0000
Tb4 Tb 0.0000 0.6655 0.6689
Tb5 Tb 0.5000 0.8389 0.3221
Nd1 Nd 0.0000 0.0000 0.0000
Se1 Se 0.7447 0.0846 0.3419
Se2 Se 0.2553 0.5735 0.3419
Se3 Se 0.2511 0.2573 0.0000
Se4 Se 0.7489 0.7427 0.0000
Se5 Se 0.7447 0.4265 0.6581
Se6 Se 0.2553 0.9154 0.6581
# Formation energy without anion corrections in meV per atom: -1785.1
# ρ in kg/m³: 7920
# SG: C2/m, No. 12